An optimized crystal structure of La2AlGa4Pd3, computed with PBE-GGA.

a = 4.3291 Å, b = 4.3291 Å, c = 10.7253 Å
α = 90.00°, β = 90.00°, γ = 90.00°
Sites, in units of the cell vectors:
1 La 0.5000 0.0000 0.2459
2 La 0.0000 0.5000 0.7541
3 Al 0.5000 0.5000 0.5000
4 Ga 0.5000 0.5000 0.0000
5 Ga 0.0000 0.0000 0.0000
6 Ga 0.5000 0.0000 0.6377
7 Ga 0.0000 0.5000 0.3623
8 Pd 0.0000 0.0000 0.5000
9 Pd 0.5000 0.0000 0.8720
10 Pd 0.0000 0.5000 0.1280

Results
**Total moment**: 0.00 μB/cell
**Raw total energy**: -4.905 eV/atom
**SG**: P-4m2

An optimized crystal structure of LaAl2Ga4Pd, computed with PBE-GGA.

a = 4.5414 Å, b = 4.5414 Å, c = 9.0751 Å
α = 75.51°, β = 75.51°, γ = 60.00°
Sites, in units of the cell vectors:
1 La 0.0000 0.0000 0.0000
2 Al 0.7561 0.7561 0.7317
3 Al 0.2439 0.2439 0.2683
4 Ga 0.3999 0.3999 0.8004
5 Ga 0.8656 0.8656 0.4032
6 Ga 0.1344 0.1344 0.5968
7 Ga 0.6001 0.6001 0.1996
8 Pd 0.5000 0.5000 0.5000

Results
**Total moment**: 0.00 μB/cell
**Raw total energy**: -4.059 eV/atom
**SG**: R-3m

An optimized crystal structure of La2Al4Ga3Pd, computed with PBE-GGA.

a = 4.3411 Å, b = 4.3411 Å, c = 10.7985 Å
α = 90.00°, β = 90.00°, γ = 90.00°
Sites, in units of the cell vectors:
1 La 0.5000 0.0000 0.2522
2 La 0.0000 0.5000 0.7478
3 Al 0.5000 0.5000 0.0000
4 Al 0.0000 0.0000 0.0000
5 Al 0.5000 0.0000 0.6233
6 Al 0.0000 0.5000 0.3767
7 Ga 0.0000 0.0000 0.5000
8 Ga 0.5000 0.0000 0.8594
9 Ga 0.0000 0.5000 0.1406
10 Pd 0.5000 0.5000 0.5000

Results
**Total moment**: 0.00 μB/cell
**Raw total energy**: -4.514 eV/atom
**SG**: P-4m2

An optimized crystal structure of La2AlGa3Pd4, computed with PBE-GGA.

a = 4.3939 Å, b = 4.3939 Å, c = 10.3252 Å
α = 90.00°, β = 90.00°, γ = 90.00°
Sites, in units of the cell vectors:
1 La 0.5000 0.0000 0.2508
2 La 0.0000 0.5000 0.7492
3 Al 0.5000 0.5000 0.5000
4 Ga 0.0000 0.0000 0.5000
5 Ga 0.5000 0.0000 0.8736
6 Ga 0.0000 0.5000 0.1264
7 Pd 0.5000 0.5000 0.0000
8 Pd 0.0000 0.0000 0.0000
9 Pd 0.5000 0.0000 0.6285
10 Pd 0.0000 0.5000 0.3715

Results
**Total moment**: 0.00 μB/cell
**Raw total energy**: -5.184 eV/atom
**SG**: P-4m2

An optimized crystal structure of LaAl3GaPd, computed with PBE-GGA.

a = 5.6862 Å, b = 5.8582 Å, c = 7.8734 Å
α = 111.84°, β = 90.00°, γ = 90.00°
Sites, in units of the cell vectors:
1 La 0.7500 0.3029 0.6058
2 La 0.2500 0.6971 0.3942
3 Al 0.2500 0.1218 0.2435
4 Al 0.0000 0.2759 0.0000
5 Al 0.5000 0.7241 0.0000
6 Al 0.5000 0.2759 0.0000
7 Al 0.0000 0.7241 0.0000
8 Al 0.7500 0.8782 0.7565
9 Ga 0.2500 0.3620 0.7240
10 Ga 0.7500 0.6380 0.2760
11 Pd 0.2500 0.9006 0.8013
12 Pd 0.7500 0.0994 0.1987

Results
**Total moment**: 0.00 μB/cell
**Raw total energy**: -4.498 eV/atom
**SG**: Cmcm

An optimized crystal structure of La3AlGa2Pd9, computed with PBE-GGA.

a = 5.8293 Å, b = 5.8293 Å, c = 10.9366 Å
α = 90.00°, β = 90.00°, γ = 120.00°
Sites, in units of the cell vectors:
1 La 0.3333 0.6667 0.6952
2 La 0.0000 0.0000 0.0000
3 La 0.6667 0.3333 0.3048
4 Al 0.0000 0.0000 0.5000
5 Ga 0.3333 0.6667 0.1685
6 Ga 0.6667 0.3333 0.8315
7 Pd 0.8330 0.1670 0.6623
8 Pd 0.8330 0.6660 0.6623
9 Pd 0.3340 0.1670 0.6623
10 Pd 0.6660 0.8330 0.3377
11 Pd 0.1670 0.3340 0.3377
12 Pd 0.1670 0.8330 0.3377
13 Pd 0.5000 0.0000 0.0000
14 Pd 0.0000 0.5000 0.0000
15 Pd 0.5000 0.5000 0.0000

Results
**Total moment**: 0.00 μB/cell
**Raw total energy**: -5.428 eV/atom
**SG**: P-3m1

An optimized crystal structure of La2Al3Ga4Pd, computed with PBE-GGA.

a = 4.3522 Å, b = 4.3522 Å, c = 10.7670 Å
α = 90.00°, β = 90.00°, γ = 90.00°
Sites, in units of the cell vectors:
1 La 0.5000 0.0000 0.2493
2 La 0.0000 0.5000 0.7507
3 Al 0.0000 0.0000 0.5000
4 Al 0.5000 0.0000 0.8642
5 Al 0.0000 0.5000 0.1358
6 Ga 0.5000 0.5000 0.0000
7 Ga 0.0000 0.0000 0.0000
8 Ga 0.5000 0.0000 0.6303
9 Ga 0.0000 0.5000 0.3697
10 Pd 0.5000 0.5000 0.5000

Results
**Total moment**: 0.00 μB/cell
**Raw total energy**: -4.424 eV/atom
**SG**: P-4m2

An optimized crystal structure of LaAlGaPd2, computed with PBE-GGA.

a = 5.1890 Å, b = 5.9158 Å, c = 5.1890 Å
α = 90.00°, β = 90.00°, γ = 90.00°
Sites, in units of the cell vectors:
1 Al 0.0000 0.5000 0.0000
2 Ga 0.5000 0.5000 0.5000
3 Pd 0.0000 0.0000 0.5000
4 Pd 0.5000 0.0000 0.0000
5 La 0.0000 0.0000 0.0000

Results
**Total moment**: 0.00 μB/cell
**Raw total energy**: -3.645 eV/atom
**SG**: P4/mmm